Here is a geometry-optimized PmPr6Nd12 structure from Alexandria. Energies are from GGA-PBE.

Computed properties:
space group	R-3m, No. 166
energy of formation from the pure elements	0.39	eV/atom
energy relative to the lowest polymorph listed for this composition	3.93	eV per formula unit
total energy	-0.3217	Ry per atom

Cell lengths 9.109, 9.109, 9.109 Å; angles 100.96, 100.96, 100.96 degrees
Sites, in units of the cell vectors:
Pr: 0.229 0.229 0.739
Nd: 0.560 0.560 0.834
Nd: 0.500 0.888 0.112
Nd: 0.112 0.888 0.500
Nd: 0.888 0.112 0.500
Nd: 0.500 0.112 0.888
Pr: 0.771 0.771 0.261
Nd: 0.112 0.500 0.888
Nd: 0.834 0.560 0.560
Nd: 0.560 0.834 0.560
Nd: 0.166 0.440 0.440
Nd: 0.888 0.500 0.112
Pr: 0.771 0.261 0.771
Pr: 0.261 0.771 0.771
Pr: 0.229 0.739 0.229
Nd: 0.440 0.166 0.440
Pm: 0.000 0.000 0.000
Pr: 0.739 0.229 0.229
Nd: 0.440 0.440 0.166